Entry from the Alexandria database: an optimized crystal structure of LuHfMnOs (PBE-GGA).

Computed properties:
DFT formation energy ... -0.206 eV per atom
Space-group type ... F-43m (216)
Total moment ... 2.017 μB/f.u.
Uncorrected energy ... -8.924 eV per atom
Volume ... 71 Å³ per cell

Cell: 4.654 4.654 4.654 Å, 60.00 60.00 60.00°
Element x y z (fractional)
Lu 0.000 0.000 0.000
Hf 0.500 0.500 0.500
Mn 0.250 0.250 0.250
Os 0.750 0.750 0.750

***

Entry from the Alexandria database: an optimized crystal structure of LuHfMnPd (PBE-GGA).

Computed properties:
DFT formation energy ... -0.301 eV per atom
Space-group type ... F-43m (216)
Total moment ... 0.000 μB/f.u.
Uncorrected energy ... -7.510 eV per atom
Volume ... 71 Å³ per cell

Cell: 4.653 4.653 4.653 Å, 60.00 60.00 60.00°
Element x y z (fractional)
Lu 0.000 0.000 0.000
Hf 0.500 0.500 0.500
Mn 0.750 0.750 0.750
Pd 0.250 0.250 0.250

***

Entry from the Alexandria database: an optimized crystal structure of LuHfMnRh (PBE-GGA).

Computed properties:
DFT formation energy ... -0.388 eV per atom
Space-group type ... F-43m (216)
Total moment ... 0.523 μB/f.u.
Uncorrected energy ... -8.137 eV per atom
Volume ... 69 Å³ per cell

Cell: 4.611 4.611 4.611 Å, 60.00 60.00 60.00°
Element x y z (fractional)
Lu 0.000 0.000 0.000
Hf 0.500 0.500 0.500
Mn 0.750 0.750 0.750
Rh 0.250 0.250 0.250

***

Entry from the Alexandria database: an optimized crystal structure of LuHfMnRu (PBE-GGA).

Computed properties:
DFT formation energy ... -0.251 eV per atom
Space-group type ... F-43m (216)
Total moment ... 1.726 μB/f.u.
Uncorrected energy ... -8.481 eV per atom
Volume ... 70 Å³ per cell

Cell: 4.636 4.636 4.636 Å, 60.00 60.00 60.00°
Element x y z (fractional)
Lu 0.000 0.000 0.000
Hf 0.500 0.500 0.500
Mn 0.250 0.250 0.250
Ru 0.750 0.750 0.750

***

Entry from the Alexandria database: an optimized crystal structure of LuHfMnTc (PBE-GGA).

Computed properties:
DFT formation energy ... -0.091 eV per atom
Space-group type ... F-43m (216)
Total moment ... 2.571 μB/f.u.
Uncorrected energy ... -8.594 eV per atom
Volume ... 73 Å³ per cell

Cell: 4.685 4.685 4.685 Å, 60.00 60.00 60.00°
Element x y z (fractional)
Lu 0.000 0.000 0.000
Hf 0.500 0.500 0.500
Mn 0.250 0.250 0.250
Tc 0.750 0.750 0.750

***

Entry from the Alexandria database: an optimized crystal structure of LuHfMnZn (PBE-GGA).

Computed properties:
DFT formation energy ... -0.027 eV per atom
Space-group type ... F-43m (216)
Total moment ... 0.521 μB/f.u.
Uncorrected energy ... -6.256 eV per atom
Volume ... 72 Å³ per cell

Cell: 4.666 4.666 4.666 Å, 60.00 60.00 60.00°
Element x y z (fractional)
Lu 0.000 0.000 0.000
Hf 0.500 0.500 0.500
Mn 0.750 0.750 0.750
Zn 0.250 0.250 0.250

***

Entry from the Alexandria database: an optimized crystal structure of LuHfZnMo (PBE-GGA).

Computed properties:
DFT formation energy ... -0.026 eV per atom
Space-group type ... F-43m (216)
Total moment ... 0.000 μB/f.u.
Uncorrected energy ... -6.671 eV per atom
Volume ... 77 Å³ per cell

Cell: 4.776 4.776 4.776 Å, 60.00 60.00 60.00°
Element x y z (fractional)
Lu 0.000 0.000 0.000
Hf 0.500 0.500 0.500
Zn 0.250 0.250 0.250
Mo 0.750 0.750 0.750

***

Entry from the Alexandria database: an optimized crystal structure of LuHf2N (PBE-GGA).

Computed properties:
Energy relative to the elements, uncorrected ... -0.092 eV/atom
Space-group type ... P4/mmm (123)
Total moment ... 0.000 μB/f.u.
Uncorrected energy ... -8.280 eV per atom
Volume ... 71 Å³ per cell

Cell: 2.987 2.987 7.971 Å, 90.00 90.00 90.00°
Element x y z (fractional)
Lu 0.000 0.000 0.000
Hf 0.500 0.500 0.328
Hf 0.500 0.500 0.672
N 0.000 0.000 0.500